No. 1
Here is a geometry-optimized GaSb3N structure from Alexandria. Energies are from GGA-PBE.

The structure belongs to space group Pm-3m (No. 221); the cell edges are 5.352, 5.352 and 5.352 Å and the angles 90.00°, 90.00° and 90.00°. The distinct sites, in fractional coordinates, are Ga at (0.000, 0.000, 0.000), Sb at (0.000, 0.000, 0.500) and N at (0.500, 0.500, 0.500).

For the energy relative to the elements, uncorrected, the calculation gives 1.557 eV/atom. For the energy above the most stable polymorph in this dataset, the calculation gives 4.97 eV/f.u. The calculation puts the calculated volume at 153 Å³ per cell. The density of states at the Fermi level comes out at 3.5 states/eV/cell. The calculation puts the total energy at -3.19 eV per atom.



No. 2
Here is a geometry-optimized PmSnPb2Se5 structure from Alexandria. Energies are from GGA-PBE.

The structure belongs to space group Cmc2_1 (No. 36); the cell edges are 4.317, 18.613 and 13.310 Å and the angles 90.00°, 90.00° and 90.00°. The distinct sites, in fractional coordinates, are Pm at (0.000, 0.213, 0.000), Sn at (0.000, 0.459, 0.434), Pb at (0.000, 0.124, 0.651), Pb at (0.000, 0.127, 0.280), Se at (0.000, 0.054, 0.059), Se at (0.000, 0.282, 0.652), Se at (0.000, 0.322, 0.356), Se at (0.000, 0.369, 0.998) and Se at (0.000, 0.483, 0.749).

For the energy relative to the elements, uncorrected, the calculation gives -0.805 eV/atom. The calculation puts the calculated volume at 1070 Å³ per cell. The density of states at the Fermi level comes out at 10.0 states/eV/cell. The calculation puts the total energy at -4.54 eV per atom.



No. 3
Here is a geometry-optimized SrBrN structure from Alexandria. Energies are from GGA-PBE.

The structure belongs to space group C2/m (No. 12); the cell edges are 6.930, 4.868 and 10.092 Å and the angles 90.00°, 93.12° and 90.00°. The distinct sites, in fractional coordinates, are Sr at (0.173, 0.000, 0.344), Br at (0.215, 0.000, 0.817) and N at (0.000, 0.369, 0.500).

For the energy relative to the elements, uncorrected, the calculation gives -1.230 eV/atom. The calculation puts the calculated volume at 340 Å³ per cell. The density of states at the Fermi level comes out at 7.1 states/eV/cell. The calculation puts the total energy at -5.12 eV per atom.



No. 4
Here is a geometry-optimized TiInPb structure from Alexandria. Energies are from GGA-PBE.

The structure belongs to space group P3m1 (No. 156); the cell edges are 5.0798, 5.0798 and 3.1969 Å and the angles 90.00°, 90.00° and 120.00°. The distinct sites, in fractional coordinates, are Ti at (0.0000, 0.0000, 0.0000), In at (0.3333, 0.6667, 0.6724) and Pb at (0.6667, 0.3333, 0.3380).

For the energy above the most stable polymorph in this dataset, the calculation gives 0.00 eV/f.u. The calculation puts the calculated volume at 71 Å³ per cell. The density of states at the Fermi level comes out at 2.3 states/eV/cell. The calculation puts the total energy at -4.50 eV per atom. The formation energy is 0.2780 eV per atom.



No. 5
Here is a geometry-optimized HoTl3Sn2Se6 structure from Alexandria. Energies are from GGA-PBE.

The structure belongs to space group C2/m (No. 12); the cell edges are 7.237, 12.581 and 8.033 Å and the angles 90.00°, 107.47° and 90.00°. The distinct sites, in fractional coordinates, are Ho at (0.000, 0.000, 0.000), Tl at (0.000, 0.165, 0.500), Tl at (0.000, 0.500, 0.500), Sn at (0.000, 0.333, 0.000), Se at (0.235, 0.165, 0.207) and Se at (0.236, 0.500, 0.204).

For the energy relative to the elements, uncorrected, the calculation gives -0.707 eV/atom. The calculation puts the calculated volume at 698 Å³ per cell. The density of states at the Fermi level comes out at 14.7 states/eV/cell. The calculation puts the total energy at -4.09 eV per atom.



No. 6
Here is a geometry-optimized EuBiSb2 structure from Alexandria. Energies are from GGA-PBE.

The structure belongs to space group P4/mmm (No. 123); the cell edges are 5.072, 5.072 and 4.572 Å and the angles 90.00°, 90.00° and 90.00°. The distinct sites, in fractional coordinates, are Eu at (0.000, 0.000, 0.000), Bi at (0.500, 0.500, 0.000) and Sb at (0.000, 0.500, 0.500).

For the energy relative to the elements, uncorrected, the calculation gives -0.469 eV/atom. For the energy above the most stable polymorph in this dataset, the calculation gives 0.00 eV/f.u. The calculation puts the calculated volume at 118 Å³ per cell. The density of states at the Fermi level comes out at 2.5 states/eV/cell. The calculation puts the total energy at -6.07 eV per atom.



No. 7
Here is a geometry-optimized AcEr4Hg5 structure from Alexandria. Energies are from GGA-PBE.

The structure belongs to space group P4/mmm (No. 123); the cell edges are 3.733, 3.733 and 19.075 Å and the angles 90.00°, 90.00° and 90.00°. The distinct sites, in fractional coordinates, are Ac at (0.000, 0.000, 0.000), Er at (0.000, 0.000, 0.213), Er at (0.000, 0.000, 0.405), Hg at (0.500, 0.500, 0.122), Hg at (0.500, 0.500, 0.309) and Hg at (0.500, 0.500, 0.500).

The calculation puts the calculated volume at 266 Å³ per cell. The density of states at the Fermi level comes out at 7.8 states/eV/cell. The calculation puts the total energy at -2.86 eV per atom. The formation energy is -0.4682 eV per atom.



No. 8
Here is a geometry-optimized K3FeCu structure from Alexandria. Energies are from GGA-PBE.

The structure belongs to space group Pm-3m (No. 221); the cell edges are 6.214, 6.214 and 6.214 Å and the angles 90.00°, 90.00° and 90.00°. The distinct sites, in fractional coordinates, are K at (0.000, 0.000, 0.500), Fe at (0.500, 0.500, 0.500) and Cu at (0.000, 0.000, 0.000).

The calculation puts the calculated volume at 240 Å³ per cell. The density of states at the Fermi level comes out at 25.1 states/eV/cell. The calculation puts the total energy at -2.22 eV per atom. The formation energy is 0.9521 eV per atom.



No. 9
Here is a geometry-optimized CaPr2Tl4 structure from Alexandria. Energies are from GGA-PBE.

The structure belongs to space group I4/mmm (No. 139); the cell edges are 5.750, 5.750 and 16.195 Å and the angles 90.00°, 90.00° and 90.00°. The distinct sites, in fractional coordinates, are Ca at (0.000, 0.000, 0.000), Pr at (0.000, 0.000, 0.394), Tl at (0.000, 0.000, 0.193) and Tl at (0.000, 0.500, 0.000).

For the energy above the most stable polymorph in this dataset, the calculation gives 2.50 eV/f.u. The calculation puts the calculated volume at 535 Å³ per cell. The density of states at the Fermi level comes out at 16.6 states/eV/cell. The calculation puts the total energy at -2.90 eV per atom. The formation energy is 0.1074 eV per atom.



No. 10
Here is a geometry-optimized LiMnSi structure from Alexandria. Energies are from GGA-PBE.

The structure belongs to space group P-1 (No. 2); the cell edges are 4.165, 4.696 and 4.787 Å and the angles 114.86°, 91.84° and 116.05°. The distinct sites, in fractional coordinates, are Li at (0.018, 0.017, 0.258), Mn at (0.337, 0.662, 0.241) and Si at (0.330, 0.679, 0.753).

For the energy relative to the elements, uncorrected, the calculation gives -0.138 eV/atom. The calculation puts the calculated volume at 74 Å³ per cell. The density of states at the Fermi level comes out at 2.6 states/eV/cell. The calculation puts the total energy at -5.64 eV per atom.



No. 11
Here is a geometry-optimized LiTbPmS3 structure from Alexandria. Energies are from GGA-PBE.

The structure belongs to space group P2_1/m (No. 11); the cell edges are 8.137, 3.855 and 8.433 Å and the angles 90.00°, 102.28° and 90.00°. The distinct sites, in fractional coordinates, are Li at (0.087, 0.250, 0.084), Tb at (0.338, 0.750, 0.333), Pm at (0.186, 0.250, 0.721), S at (0.097, 0.250, 0.367), S at (0.213, 0.750, 0.996) and S at (0.425, 0.750, 0.671).

For the energy relative to the elements, uncorrected, the calculation gives -1.829 eV/atom. The calculation puts the calculated volume at 258 Å³ per cell. The density of states at the Fermi level comes out at 3.5 states/eV/cell. The calculation puts the total energy at -5.78 eV per atom.



No. 12
Here is a geometry-optimized NaSnSb structure from Alexandria. Energies are from GGA-PBE.

The structure belongs to space group Cmcm (No. 63); the cell edges are 5.162, 9.790 and 6.698 Å and the angles 90.00°, 90.00° and 90.00°. The distinct sites, in fractional coordinates, are Na at (0.000, 0.000, 0.000), Sn at (0.000, 0.335, 0.250) and Sb at (0.000, 0.339, 0.750).

For the energy relative to the elements, uncorrected, the calculation gives -0.187 eV/atom. For the energy above the most stable polymorph in this dataset, the calculation gives 0.16 eV/f.u. The calculation puts the calculated volume at 338 Å³ per cell. The density of states at the Fermi level comes out at 3.0 states/eV/cell. The calculation puts the total energy at -3.33 eV per atom.